# CsAuIO2 | Alexandria | PBE | relaxed
# Energy above the most stable polymorph in this dataset (kJ/mol of atoms): 35.4
# DOS(E_F) (states/eV/atom): 0.689
# Uncorrected formation energy (eV per atom): 0.501
data_CsAuIO2
_chemical_formula_sum 'Cs1 Au1 I1 O2'
_symmetry_space_group_name_H-M 'P 4/m m m'
_symmetry_Int_Tables_number 123
_symmetry_space_group_name_Hall '-P 4 2'
_cell_length_a 4.279
_cell_length_b 4.279
_cell_length_c 8.315
_cell_angle_alpha 90.00
_cell_angle_beta 90.00
_cell_angle_gamma 90.00
loop_
_atom_site_label
_atom_site_type_symbol
_atom_site_fract_x
_atom_site_fract_y
_atom_site_fract_z
Cs1 Cs 0.000 0.000 0.000
Au1 Au 0.500 0.500 0.500
I1 I 0.000 0.000 0.500
O1 O 0.000 0.500 0.000